Record 1
Compound: Gd3As5O12
Source: the Alexandria database
Functional: meta-GGA SCAN
Structure: single point on PBEsol structure

Computed properties:
size of the total moment = 21.0 μB per formula unit
E_form (uncorrected) = -2.285 eV/atom
calculated density = 5.84 g cm⁻³
crystal system = cubic
symmetry = I-43m, No. 217
V = 590.4 Å³/cell

a b c (Å): 9.1533 9.1533 9.1533
angles (deg): 109.47 109.47 109.47
Fractional coordinates of all 40 atoms:
1 Gd 0.2500 0.5000 0.7500
2 Gd 0.5000 0.7500 0.2500
3 Gd 0.2500 0.7500 0.5000
4 Gd 0.7500 0.2500 0.5000
5 Gd 0.7500 0.5000 0.2500
6 Gd 0.5000 0.2500 0.7500
7 As 0.2857 0.2857 0.0000
8 As 0.0000 0.5010 0.0000
9 As 0.0000 0.2857 0.2857
10 As 0.7143 0.0000 0.7143
11 As 0.5010 0.0000 0.0000
12 As 0.2857 0.0000 0.2857
13 As 0.0000 0.7143 0.7143
14 As 0.0000 0.0000 0.5010
15 As 0.4990 0.4990 0.4990
16 As 0.7143 0.7143 0.0000
17 O 0.2954 0.4833 0.0000
18 O 0.7046 0.7046 0.1879
19 O 0.5167 0.5167 0.8121
20 O 0.2823 0.4734 0.4734
21 O 0.8089 0.0000 0.5266
22 O 0.0000 0.5266 0.8089
23 O 0.1911 0.7177 0.1911
24 O 0.5266 0.8089 0.0000
25 O 0.4833 0.0000 0.2954
26 O 0.1879 0.7046 0.7046
27 O 0.0000 0.2954 0.4833
28 O 0.5167 0.8121 0.5167
29 O 0.7177 0.1911 0.1911
30 O 0.5266 0.0000 0.8089
31 O 0.0000 0.8089 0.5266
32 O 0.4734 0.2823 0.4734
33 O 0.2954 0.0000 0.4833
34 O 0.8121 0.5167 0.5167
35 O 0.0000 0.4833 0.2954
36 O 0.7046 0.1879 0.7046
37 O 0.4833 0.2954 0.0000
38 O 0.4734 0.4734 0.2823
39 O 0.1911 0.1911 0.7177
40 O 0.8089 0.5266 0.0000

Record 2
Compound: BaSiNi3
Source: the Alexandria database
Functional: meta-GGA SCAN
Structure: single point on PBEsol structure

Computed properties:
size of the total moment = 0.0 μB per formula unit
E_form (uncorrected) = 2.197 eV/atom
calculated density = 5.21 g cm⁻³
crystal system = cubic
symmetry = Pm-3m, No. 221
V = 108.8 Å³/cell

a b c (Å): 4.7737 4.7737 4.7737
angles (deg): 90.00 90.00 90.00
Fractional coordinates of all 5 atoms:
1 Ni 0.0000 0.5000 0.0000
2 Ni 0.0000 0.0000 0.5000
3 Ni 0.5000 0.0000 0.0000
4 Si 0.5000 0.5000 0.5000
5 Ba 0.0000 0.0000 0.0000

Record 3
Compound: Mn2InAu
Source: the Alexandria database
Functional: meta-GGA SCAN
Structure: single point on PBEsol structure

Computed properties:
formation energy = -0.281 eV/atom
size of the total moment = 7.8 μB per formula unit
calculated density = 11.09 g cm⁻³
crystal system = tetragonal
symmetry = I4/mmm, No. 139
V = 63.2 Å³/cell

a b c (Å): 4.0316 4.0316 4.8190
angles (deg): 114.73 114.73 90.00
Fractional coordinates of all 4 atoms:
1 Au 0.5000 0.5000 0.0000
2 In 0.0000 0.0000 0.0000
3 Mn 0.7500 0.2500 0.5000
4 Mn 0.2500 0.7500 0.5000

Record 4
Compound: AlBrF3
Source: the Alexandria database
Functional: meta-GGA SCAN
Structure: single point on PBEsol structure

Computed properties:
size of the total moment = 1.0 μB per formula unit
E_form (uncorrected) = -2.250 eV/atom
calculated density = 4.61 g cm⁻³
crystal system = cubic
symmetry = Pm-3m, No. 221
V = 59.0 Å³/cell

a b c (Å): 3.8937 3.8937 3.8937
angles (deg): 90.00 90.00 90.00
Fractional coordinates of all 5 atoms:
1 Al 0.5000 0.5000 0.5000
2 Br 0.0000 0.0000 0.0000
3 F 0.0000 0.5000 0.5000
4 F 0.5000 0.0000 0.5000
5 F 0.5000 0.5000 0.0000

Record 5
Compound: ScAg3
Source: the Alexandria database
Functional: meta-GGA SCAN
Structure: single point on PBEsol structure

Computed properties:
formation energy = -0.161 eV/atom
size of the total moment = 0.0 μB per formula unit
calculated density = 8.66 g cm⁻³
crystal system = tetragonal
symmetry = I4/mmm, No. 139
V = 141.3 Å³/cell

a b c (Å): 4.3985 4.3985 7.9364
angles (deg): 106.09 106.09 90.00
Fractional coordinates of all 8 atoms:
1 Ag 0.5000 0.0000 0.0000
2 Ag 0.8761 0.8761 0.7522
3 Ag 0.1239 0.1239 0.2478
4 Ag 0.2500 0.7500 0.5000
5 Ag 0.7500 0.2500 0.5000
6 Ag 0.0000 0.5000 0.0000
7 Sc 0.6283 0.6283 0.2565
8 Sc 0.3717 0.3717 0.7435

Record 6
Compound: SrH6C2S2N2O3
Source: the Alexandria database
Functional: meta-GGA SCAN
Structure: single point on PBEsol structure

Computed properties:
size of the total moment = 0.0 μB per formula unit
calculated density = 1.97 g cm⁻³
E = -8.325 eV/atom
crystal system = monoclinic
symmetry = P2_1/c, No. 14
V = 870.2 Å³/cell

a b c (Å): 7.0763 9.2686 13.3133
angles (deg): 94.74 90.00 90.00
Fractional coordinates of all 64 atoms:
1 Sr 0.7574 0.8909 0.5487
2 Sr 0.7426 0.3909 0.0487
3 Sr 0.2426 0.1091 0.4513
4 Sr 0.2574 0.6091 0.9513
5 H 0.9994 0.0555 0.7315
6 H 0.5006 0.5555 0.2315
7 H 0.0006 0.9445 0.2685
8 H 0.4994 0.4445 0.7685
9 H 0.8325 0.1540 0.7014
10 H 0.6675 0.6540 0.2014
11 H 0.1675 0.8460 0.2986
12 H 0.3325 0.3460 0.7986
13 H 0.8095 0.6360 0.6924
14 H 0.6905 0.1360 0.1924
15 H 0.1905 0.3640 0.3076
16 H 0.3095 0.8640 0.8076
17 H 0.8418 0.7802 0.7628
18 H 0.6582 0.2802 0.2628
19 H 0.1582 0.2198 0.2372
20 H 0.3418 0.7198 0.7372
21 H 0.9387 0.6383 0.4033
22 H 0.5613 0.1383 0.9033
23 H 0.0613 0.3617 0.5967
24 H 0.4387 0.8617 0.0967
25 H 0.7491 0.5644 0.4335
26 H 0.7509 0.0644 0.9335
27 H 0.2509 0.4356 0.5665
28 H 0.2491 0.9356 0.0665
29 C 0.3960 0.0809 0.6937
30 C 0.1040 0.5809 0.1937
31 C 0.6040 0.9191 0.3063
32 C 0.8960 0.4191 0.8063
33 C 0.2394 0.7766 0.5447
34 C 0.2606 0.2766 0.0447
35 C 0.7606 0.2234 0.4553
36 C 0.7394 0.7234 0.9553
37 S 0.2909 0.1049 0.8030
38 S 0.2091 0.6049 0.3030
39 S 0.7091 0.8951 0.1970
40 S 0.7909 0.3951 0.6970
41 S 0.3998 0.6601 0.5711
42 S 0.1002 0.1601 0.0711
43 S 0.6002 0.3399 0.4289
44 S 0.8998 0.8399 0.9289
45 N 0.4698 0.0625 0.6138
46 N 0.0302 0.5625 0.1138
47 N 0.5302 0.9375 0.3862
48 N 0.9698 0.4375 0.8862
49 N 0.1255 0.8642 0.5255
50 N 0.3745 0.3642 0.0255
51 N 0.8745 0.1358 0.4745
52 N 0.6255 0.6358 0.9745
53 O 0.8719 0.0516 0.7012
54 O 0.6281 0.5516 0.2012
55 O 0.1281 0.9484 0.2988
56 O 0.3719 0.4484 0.7988
57 O 0.8130 0.7425 0.6928
58 O 0.6870 0.2425 0.1928
59 O 0.1870 0.2575 0.3072
60 O 0.3130 0.7575 0.8072
61 O 0.8203 0.6563 0.4415
62 O 0.6797 0.1563 0.9415
63 O 0.1797 0.3437 0.5585
64 O 0.3203 0.8437 0.0585

Record 7
Compound: BaY4Hg
Source: the Alexandria database
Functional: meta-GGA SCAN
Structure: single point on PBEsol structure

Computed properties:
formation energy = 0.344 eV/atom
size of the total moment = 0.0 μB per formula unit
calculated density = 5.94 g cm⁻³
crystal system = cubic
symmetry = F-43m, No. 216
V = 194.0 Å³/cell

a b c (Å): 6.4981 6.4981 6.4981
angles (deg): 60.00 60.00 60.00
Fractional coordinates of all 6 atoms:
1 Ba 0.7500 0.7500 0.7500
2 Hg 0.0000 0.0000 0.0000
3 Y 0.3736 0.3736 0.3736
4 Y 0.3736 0.3736 0.8791
5 Y 0.8791 0.3736 0.3736
6 Y 0.3736 0.8791 0.3736

Record 8
Compound: Mn2ZnSb
Source: the Alexandria database
Functional: meta-GGA SCAN
Structure: single point on PBEsol structure

Computed properties:
size of the total moment = 1.1 μB per formula unit
E_form (uncorrected) = 0.184 eV/atom
calculated density = 8.70 g cm⁻³
crystal system = cubic
symmetry = F-43m, No. 216
V = 56.7 Å³/cell

a b c (Å): 4.3113 4.3113 4.3113
angles (deg): 60.00 60.00 60.00
Fractional coordinates of all 4 atoms:
1 Mn 0.0000 0.0000 0.0000
2 Mn 0.7500 0.7500 0.7500
3 Sb 0.5000 0.5000 0.5000
4 Zn 0.2500 0.2500 0.2500